# 1
Compound: Ga2BiPb6
Source: Alexandria
Functional: PBE
Structure: relaxed

Lattice parameters (Å, degrees): 11.1157 4.6089 10.9700 90.00 106.89 90.00
Last column: nearest neighbours and their distance in Å.
Space group C2/m (No. 12)
Symmetry-distinct sites (fractional):
Ga  0.1843  0.0000  0.2818 [4 per cell]  8 Pb 3.06-3.38, 1 Bi 3.17
Bi  0.0000  0.0000  0.0000 [2 per cell]  2 Ga 3.17, 6 Pb 3.43-3.50
Pb  0.0174  0.5000  0.7360 [4 per cell]  3 Ga 3.18-3.38
Pb  0.1553  0.0000  0.5509 [4 per cell]  3 Ga 3.06-3.16, 1 Pb 3.30
Pb  0.2347  0.5000  0.1113 [4 per cell]  2 Ga 3.12, 2 Bi 3.43, 2 Pb 3.45

Summary:
calculated volume = 29.88 Å³ per atom
formation energy from the elements = 69.9 meV per atom
calculated total energy = -3.506 eV/atom

***

# 2
Compound: CaCd2Mo
Source: Alexandria
Functional: PBE
Structure: relaxed

Lattice parameters (Å, degrees): 10.4444 2.8909 5.7756 90.00 97.36 90.00
Last column: nearest neighbours and their distance in Å.
Space group C2/m (No. 12)
Symmetry-distinct sites (fractional):
Ca  0.0000  0.0000  0.0000 [2 per cell]  2 Ca 2.89, 2 Cd 3.14, 4 Mo 3.23
Cd  0.2399  0.0000  0.7221 [4 per cell]  4 Cd 2.89-2.98, 3 Mo 3.03-3.15, 1 Ca 3.14
Mo  0.0000  0.5000  0.5000 [2 per cell]  2 Mo 2.89, 6 Cd 3.03-3.15, 4 Ca 3.23

Summary:
calculated volume = 21.62 Å³ per atom
formation energy from the elements = 407.7 meV per atom
calculated total energy = -3.258 eV/atom

***

# 3
Compound: YP5O14
Source: Alexandria
Functional: PBE
Structure: relaxed

Lattice parameters (Å, degrees): 13.0791 12.9801 12.6326 90.00 91.62 90.00
Last column: nearest neighbours and their distance in Å.
Space group C2/c (No. 15)
Symmetry-distinct sites (fractional):
Y  0.0000  0.0210  0.2500 [4 per cell]  8 O 2.34-2.38
Y  0.0000  0.4656  0.2500 [4 per cell]  8 O 2.30-2.42
P  0.0227  0.3500  0.5342 [8 per cell]  3 O 1.48-1.63
P  0.1464  0.0297  0.0020 [8 per cell]  3 O 1.48-1.63
P  0.1476  0.1700  0.6077 [8 per cell]  4 O 1.47-1.58
P  0.1779  0.2474  0.2579 [8 per cell]  4 O 1.48-1.65
P  0.1827  0.3661  0.8900 [8 per cell]  4 O 1.48-1.59
O  0.0248  0.3946  0.4264 [8 per cell]  1 P 1.48
O  0.0578  0.4076  0.6309 [8 per cell]  1 P 1.49
O  0.0786  0.0628  0.0888 [8 per cell]  1 P 1.49
O  0.0831  0.2403  0.5282 [8 per cell]  2 P 1.58-1.63
O  0.0905  0.1282  0.6970 [8 per cell]  1 P 1.47
O  0.0934  0.3049  0.9439 [8 per cell]  2 P 1.58-1.66
O  0.1129  0.0330  0.8893 [8 per cell]  1 P 1.48
O  0.1157  0.1554  0.2826 [8 per cell]  1 P 1.48
O  0.1306  0.3484  0.2313 [8 per cell]  1 P 1.48
O  0.1521  0.4513  0.8186 [8 per cell]  1 P 1.48
O  0.1928  0.0862  0.5306 [8 per cell]  2 P 1.58-1.66
O  0.2417  0.2401  0.6404 [8 per cell]  2 P 1.58-1.65
O  0.2441  0.2754  0.8385 [8 per cell]  2 P 1.58-1.64
O  0.2485  0.4029  0.9905 [8 per cell]  2 P 1.59-1.63

Summary:
calculated volume = 13.40 Å³ per atom
calculated total energy = -7.483 eV/atom
formation energy (no corrections) = -2.337 eV per atom

***

# 4
Compound: LaReAg2Pt
Source: Alexandria
Functional: PBE
Structure: relaxed

Lattice parameters (Å, degrees): 5.0827 5.0827 4.8166 90.00 90.00 90.00
Last column: nearest neighbours and their distance in Å.
Space group P4/mmm (No. 123)
Symmetry-distinct sites (fractional):
La  0.0000  0.0000  0.0000 [1 per cell]  8 Ag 3.50, 4 Pt 3.59
Re  0.5000  0.5000  0.5000 [1 per cell]  2 Pt 2.41, 4 Ag 2.54
Ag  0.0000  0.5000  0.5000 [2 per cell]  2 Re 2.54
Pt  0.5000  0.5000  0.0000 [1 per cell]  2 Re 2.41

Summary:
calculated volume = 24.89 Å³ per atom
formation energy from the elements = 523.1 meV per atom
calculated total energy = -5.301 eV/atom

***

> Among the records above, which one has the highest calculated volume?

Ga2BiPb6

***

> Which of these has the highest calculated volume?

Ga2BiPb6

***

> What is the formula in the third record?

YP5O14